Record 1
Here is a relaxed AcPm4Sm crystal from Alexandria. Energies are from GGA-PBE.

```
6
Lattice="0.000 4.792 4.792 4.792 0.000 4.792 4.792 4.792 0.000" Properties=species:S:1:pos:R:3 pbc="T T T"
Ac 0.000 0.000 0.000
Pm 3.605 3.605 3.605
Pm 5.979 5.979 3.605
Pm 5.979 3.605 5.979
Pm 3.605 5.979 5.979
Sm 7.188 7.188 7.188
```

Computed properties:
- ΔH_f (0 K) (eV/atom) = 0.235
- N(E_F) (states/eV/f.u.) = 11.20

=====

Record 2
Here is a relaxed Ac2PmSm crystal from Alexandria. Energies are from GGA-PBE.

```
4
Lattice="3.858 0.000 0.000 0.000 5.254 0.000 0.000 0.000 7.713" Properties=species:S:1:pos:R:3 pbc="T T T"
Ac 0.000 0.000 1.930
Ac 0.000 0.000 5.782
Pm 1.929 2.627 0.000
Sm 1.929 2.627 3.856
```

Computed properties:
- ΔH_f (0 K) (eV/atom) = 0.031
- N(E_F) (states/eV/f.u.) = 5.82

=====

Record 3
Here is a relaxed AcPm2Sm6 crystal from Alexandria. Energies are from GGA-PBE.

```
9
Lattice="5.218 -3.584 0.000 5.218 3.584 0.000 -3.238 0.000 8.532" Properties=species:S:1:pos:R:3 pbc="T T T"
Ac 0.000 0.000 0.000
Pm 0.781 0.000 4.062
Pm 6.417 0.000 4.470
Sm 3.563 1.646 2.538
Sm 3.635 1.646 5.994
Sm 0.644 0.000 7.711
Sm 6.554 0.000 0.822
Sm 3.563 -1.646 2.538
Sm 3.635 -1.646 5.994
```

Computed properties:
- ΔH_f (0 K) (eV/atom) = 0.115
- N(E_F) (states/eV/f.u.) = 13.34

=====

Record 4
Here is a relaxed Ac2Pm3Sm8 crystal from Alexandria. Energies are from GGA-PBE.

```
13
Lattice="9.046 -4.077 0.000 9.046 4.077 0.000 -0.430 0.000 6.367" Properties=species:S:1:pos:R:3 pbc="T T T"
Ac 2.898 0.000 1.154
Ac 14.764 0.000 5.213
Pm 9.046 1.529 0.000
Pm 8.831 0.000 3.183
Pm 9.046 -1.529 0.000
Sm 0.250 0.000 4.594
Sm 5.860 1.818 2.178
Sm 5.459 0.000 5.305
Sm 11.801 1.818 4.189
Sm 5.860 -1.818 2.178
Sm 12.202 0.000 1.062
Sm 11.801 -1.818 4.189
Sm 17.411 0.000 1.773
```

Computed properties:
- ΔH_f (0 K) (eV/atom) = 0.182
- N(E_F) (states/eV/f.u.) = 19.09

=====

Record 5
Here is a relaxed AcPm7Sm3 crystal from Alexandria. Energies are from GGA-PBE.

```
11
Lattice="5.952 -5.084 0.000 5.952 5.084 0.000 -0.609 0.000 6.604" Properties=species:S:1:pos:R:3 pbc="T T T"
Ac 0.000 0.000 0.000
Pm -0.304 0.000 3.302
Pm 2.519 1.785 5.014
Pm 2.989 0.000 1.967
Pm 2.519 -1.785 5.014
Pm 8.777 1.785 1.589
Pm 8.307 0.000 4.637
Pm 8.777 -1.785 1.589
Sm 5.648 1.752 3.302
Sm 5.952 0.000 0.000
Sm 5.648 -1.752 3.302
```

Computed properties:
- ΔH_f (0 K) (eV/atom) = 0.207
- N(E_F) (states/eV/f.u.) = 14.90

=====

Record 6
Here is a relaxed Ac2PmSm crystal from Alexandria. Energies are from GGA-PBE.

```
4
Lattice="1.922 1.110 12.262 -1.922 1.110 12.262 0.000 -2.220 12.262" Properties=species:S:1:pos:R:3 pbc="T T T"
Ac 0.000 0.000 0.000
Ac 0.000 0.000 6.132
Pm 0.000 0.000 15.307
Sm 0.000 0.000 21.499
```

Computed properties:
- ΔH_f (0 K) (eV/atom) = 0.043
- N(E_F) (states/eV/f.u.) = 6.15